Record 1
MnVPt3: relaxed, PBE.

Cell lengths 4.6309, 4.6309, 4.6309 Å; angles 90.00, 90.00, 90.00 degrees
With the nearest neighbours (Å) after each atom.
Space group Pm-3m (No. 221)
One atom of each set of equivalent atoms:
Mn: 0.0000 0.0000 0.0000 [1 per cell]  12 Pt 3.27
V: 0.5000 0.5000 0.5000 [1 per cell]  6 Pt 2.32
Pt: 0.0000 0.5000 0.5000 [3 per cell]  2 V 2.32

Output
E above lowest polymorph	0.953	eV/atom

Record 2
Mn2VPt8: relaxed, PBE.

Cell lengths 14.0542, 3.9465, 6.2536 Å; angles 90.00, 106.53, 90.00 degrees
With the nearest neighbours (Å) after each atom.
Space group C2/m (No. 12)
One atom of each set of equivalent atoms:
Mn: 0.2236 0.0000 0.1443 [4 per cell]  10 Pt 2.70-2.80, 2 Mn 2.91
V: 0.0000 0.5000 0.5000 [2 per cell]  12 Pt 2.73-2.79
Pt: 0.0451 0.0000 0.2293 [4 per cell]  1 Mn 2.71, 9 Pt 2.75-2.88, 2 V 2.79
Pt: 0.0969 0.5000 0.9470 [4 per cell]  3 Mn 2.71-2.74, 8 Pt 2.73-2.98, 1 V 2.74
Pt: 0.1360 0.0000 0.6830 [4 per cell]  7 Pt 2.73-2.82, 2 V 2.76, 3 Mn 2.78-2.80
Pt: 0.1801 0.5000 0.4146 [4 per cell]  3 Mn 2.70-2.78, 1 V 2.73, 8 Pt 2.75-2.82

Record 3
MnV6Pt: relaxed, PBE.

Cell lengths 3.0076, 8.4570, 8.3669 Å; angles 90.00, 90.00, 90.00 degrees
With the nearest neighbours (Å) after each atom.
Space group Amm2 (No. 38)
One atom of each set of equivalent atoms:
Mn: 0.0000 0.0000 0.0000 [2 per cell]  6 V 2.46-2.57, 2 Pt 2.69
V: 0.0000 0.0000 0.4768 [2 per cell]  6 V 2.54-2.63, 2 Pt 2.62
V: 0.0000 0.2436 0.2356 [4 per cell]  6 V 2.55-2.59, 2 Pt 2.64, 1 Mn 2.85
V: 0.5000 0.0000 0.2327 [2 per cell]  2 Mn 2.46, 6 V 2.54-2.55
V: 0.5000 0.2452 0.9840 [4 per cell]  2 Mn 2.57, 6 V 2.57-2.63
Pt: 0.5000 0.0000 0.7328 [2 per cell]  6 V 2.62-2.64, 2 Mn 2.69

Calculated theoretical density (g/cm³), listed in the same order as above: 11.56 17.19 8.67
Calculated raw total energy (eV per atom), listed in the same order as above: -6.594 -7.255 -8.961